No. 1
Here is a relaxed structure of BeCr2Sb from Alexandria. Energies are from PBE.

ΔE to the lowest computed polymorph (meV/atom): 130
D(E_F) (states/eV/atom): 0.671
Energy relative to the elements, uncorrected (eV/atom): 0.371
VASP energy (eV/cell): -25.61
SG: C2/m, No. 12

a = 4.4345 Å, b = 4.4345 Å, c = 4.4434 Å
α = 100.55°, β = 100.55°, γ = 40.56°
With the nearest neighbours (Å) after each atom.
Positions (direct):
Be (0.0000, 0.0000, 0.0000)  6 Cr 2.43-2.54, 4 Sb 2.70
Cr (0.2569, 0.2569, 0.8162)  2 Cr 2.26, 1 Be 2.43
Cr (0.7431, 0.7431, 0.1838)  2 Cr 2.26, 1 Be 2.43
Sb (0.5000, 0.5000, 0.5000)  6 Cr 2.68-2.78, 4 Be 2.70


No. 2
Here is a relaxed structure of BeCr2Sb from Alexandria. Energies are from PBE.

ΔE to the lowest computed polymorph (meV/atom): 118
D(E_F) (states/eV/atom): 1.069
Energy relative to the elements, uncorrected (eV/atom): 0.359
VASP energy (eV/cell): -25.66
SG: I4/mmm, No. 139

a = 4.6279 Å, b = 4.6279 Å, c = 4.6279 Å
α = 130.62°, β = 130.62°, γ = 72.42°
With the nearest neighbours (Å) after each atom.
Positions (direct):
Be (0.0000, 0.0000, 0.0000)  8 Cr 2.69, 4 Sb 2.73
Cr (0.2500, 0.7500, 0.5000)  4 Sb 2.69, 4 Be 2.69, 4 Cr 2.73
Cr (0.7500, 0.2500, 0.5000)  4 Sb 2.69, 4 Be 2.69, 4 Cr 2.73
Sb (0.5000, 0.5000, 0.0000)  8 Cr 2.69, 4 Be 2.73


No. 3
Here is a relaxed structure of BeCr2Sb from Alexandria. Energies are from PBE.

ΔE to the lowest computed polymorph (meV/atom): 155
D(E_F) (states/eV/atom): 0.675
Energy relative to the elements, uncorrected (eV/atom): 0.396
VASP energy (eV/cell): -25.51
SG: Fm-3m, No. 225

a = 4.2834 Å, b = 4.2834 Å, c = 4.2834 Å
α = 60.00°, β = 60.00°, γ = 60.00°
With the nearest neighbours (Å) after each atom.
Positions (direct):
Be (0.0000, 0.0000, 0.0000)  8 Cr 2.62
Cr (0.2500, 0.2500, 0.2500)  4 Sb 2.62, 4 Be 2.62
Cr (0.7500, 0.7500, 0.7500)  4 Sb 2.62, 4 Be 2.62
Sb (0.5000, 0.5000, 0.5000)  8 Cr 2.62


No. 4
Here is a relaxed structure of BeCr2Sb from Alexandria. Energies are from PBE.

ΔE to the lowest computed polymorph (meV/atom): 322
D(E_F) (states/eV/atom): 1.062
Energy relative to the elements, uncorrected (eV/atom): 0.563
VASP energy (eV/cell): -24.84
SG: R-3m, No. 166

a = 6.6624 Å, b = 6.6624 Å, c = 6.6624 Å
α = 27.53°, β = 27.53°, γ = 27.53°
With the nearest neighbours (Å) after each atom.
Positions (direct):
Be (0.0000, 0.0000, 0.0000)  6 Cr 2.17
Cr (0.2729, 0.2729, 0.2729)  3 Be 2.17
Cr (0.7271, 0.7271, 0.7271)  3 Be 2.17
Sb (0.5000, 0.5000, 0.5000)  6 Cr 2.74


No. 5
Here is a relaxed structure of Be2CrSb from Alexandria. Energies are from PBE.

D(E_F) (states/eV/atom): 0.377
Energy relative to the elements, uncorrected (eV/atom): 0.768
VASP energy (eV/cell): -36.25
SG: I-42d, No. 122

a = 5.5292 Å, b = 5.5292 Å, c = 5.5292 Å
α = 102.58°, β = 102.58°, γ = 124.37°
With the nearest neighbours (Å) after each atom.
Positions (direct):
Be (0.1235, 0.1250, 0.4985)  2 Sb 2.52, 2 Cr 2.54, 2 Be 2.58
Be (0.3750, 0.8765, 0.0015)  2 Sb 2.52, 2 Cr 2.54, 2 Be 2.58
Be (0.6265, 0.6250, 0.5015)  2 Sb 2.52, 2 Cr 2.54, 2 Be 2.58
Be (0.8750, 0.3735, 0.9985)  2 Sb 2.52, 2 Cr 2.54, 2 Be 2.58
Cr (0.2500, 0.7500, 0.5000)  4 Be 2.54, 2 Sb 2.58
Cr (0.5000, 0.5000, 0.0000)  4 Be 2.54, 2 Sb 2.58
Sb (0.0000, 0.0000, 0.0000)  4 Be 2.52, 2 Cr 2.58
Sb (0.7500, 0.2500, 0.5000)  4 Be 2.52, 2 Cr 2.58


No. 6
Here is a relaxed structure of BeCr2Sb from Alexandria. Energies are from PBE.

ΔE to the lowest computed polymorph (meV/atom): 160
D(E_F) (states/eV/atom): 1.009
Energy relative to the elements, uncorrected (eV/atom): 0.402
VASP energy (eV/cell): -25.49
SG: Immm, No. 71

a = 4.7304 Å, b = 4.7304 Å, c = 4.7304 Å
α = 140.70°, β = 127.27°, γ = 67.70°
With the nearest neighbours (Å) after each atom.
Positions (direct):
Be (0.0000, 0.0000, 0.0000)  4 Cr 2.43, 4 Sb 2.63
Cr (0.2330, 0.7330, 0.5000)  2 Be 2.43, 2 Sb 2.63, 4 Cr 2.65
Cr (0.7670, 0.2670, 0.5000)  2 Be 2.43, 2 Sb 2.63, 4 Cr 2.65
Sb (0.5000, 0.5000, 0.0000)  8 Cr 2.63-2.79, 4 Be 2.63


No. 7
Here is a relaxed structure of Be2CrSb from Alexandria. Energies are from PBE.

D(E_F) (states/eV/atom): 0.456
Energy relative to the elements, uncorrected (eV/atom): 0.412
VASP energy (eV/cell): -19.55
SG: C2/m, No. 12

a = 4.4690 Å, b = 4.4690 Å, c = 4.0307 Å
α = 106.78°, β = 106.78°, γ = 43.65°
With the nearest neighbours (Å) after each atom.
Positions (direct):
Be (0.2316, 0.2316, 0.1509)  2 Be 2.14
Be (0.7684, 0.7684, 0.8491)  2 Be 2.14
Cr (0.5000, 0.5000, 0.0000)  6 Be 2.47-2.48, 4 Sb 2.61
Sb (0.0000, 0.0000, 0.5000)  4 Cr 2.61, 8 Be 2.71-2.78


No. 8
Here is a relaxed structure of BeCr2Sb from Alexandria. Energies are from PBE.

ΔE to the lowest computed polymorph (meV/atom): 357
D(E_F) (states/eV/atom): 0.889
Energy relative to the elements, uncorrected (eV/atom): 0.598
VASP energy (eV/cell): -24.70
SG: C2/m, No. 12

a = 4.7390 Å, b = 4.7390 Å, c = 2.8473 Å
α = 99.54°, β = 99.54°, γ = 114.30°
With the nearest neighbours (Å) after each atom.
Positions (direct):
Be (0.0000, 0.0000, 0.0000)  4 Cr 2.55, 2 Sb 2.57, 2 Be 2.85
Cr (0.0000, 0.5000, 0.5000)  2 Sb 2.55, 2 Be 2.55, 4 Cr 2.57-2.85
Cr (0.5000, 0.0000, 0.5000)  2 Sb 2.55, 2 Be 2.55, 4 Cr 2.57-2.85
Sb (0.5000, 0.5000, 0.0000)  4 Cr 2.55, 2 Be 2.57, 2 Sb 2.85


No. 9
Here is a relaxed structure of Be2CrSb from Alexandria. Energies are from PBE.

D(E_F) (states/eV/atom): 0.347
Energy relative to the elements, uncorrected (eV/atom): 0.276
VASP energy (eV/cell): -20.09
SG: R3m, No. 160

a = 4.8995 Å, b = 4.8995 Å, c = 4.8995 Å
α = 45.25°, β = 45.25°, γ = 45.25°
With the nearest neighbours (Å) after each atom.
Positions (direct):
Be (0.0000, 0.0000, 0.0000)  3 Be 2.19, 3 Cr 2.43
Be (0.3545, 0.3545, 0.3545)  3 Be 2.19, 3 Cr 2.32
Cr (0.7485, 0.7485, 0.7485)  6 Be 2.32-2.43
Sb (0.5432, 0.5432, 0.5432)  4 Be 2.49-2.72, 4 Cr 2.70-2.75


No. 10
Here is a relaxed structure of BeCrSb3 from Alexandria. Energies are from PBE.

ΔE to the lowest computed polymorph (meV/atom): 0
D(E_F) (states/eV/atom): 0.499
Energy relative to the elements, uncorrected (eV/atom): 0.710
VASP energy (eV/cell): -22.17
SG: Pm-3m, No. 221

a = 4.9134 Å, b = 4.9134 Å, c = 4.9134 Å
α = 90.00°, β = 90.00°, γ = 90.00°
With the nearest neighbours (Å) after each atom.
Positions (direct):
Be (0.0000, 0.0000, 0.0000)  6 Sb 2.46
Cr (0.5000, 0.5000, 0.5000)  12 Sb 3.47
Sb (0.0000, 0.0000, 0.5000)  2 Be 2.46
Sb (0.0000, 0.5000, 0.0000)  2 Be 2.46
Sb (0.5000, 0.0000, 0.0000)  2 Be 2.46


No. 11
Here is a relaxed structure of BeCrSb3 from Alexandria. Energies are from PBE.

ΔE to the lowest computed polymorph (meV/atom): 142
D(E_F) (states/eV/atom): 0.532
Energy relative to the elements, uncorrected (eV/atom): 0.851
VASP energy (eV/cell): -21.46
SG: Pm-3m, No. 221

a = 5.0112 Å, b = 5.0112 Å, c = 5.0112 Å
α = 90.00°, β = 90.00°, γ = 90.00°
With the nearest neighbours (Å) after each atom.
Positions (direct):
Be (0.0000, 0.0000, 0.0000)  12 Sb 3.54
Cr (0.5000, 0.5000, 0.5000)  6 Sb 2.51
Sb (0.0000, 0.5000, 0.5000)  2 Cr 2.51
Sb (0.5000, 0.0000, 0.5000)  2 Cr 2.51
Sb (0.5000, 0.5000, 0.0000)  2 Cr 2.51


No. 12
Here is a relaxed structure of Be2CrSb from Alexandria. Energies are from PBE.

D(E_F) (states/eV/atom): 0.477
Energy relative to the elements, uncorrected (eV/atom): 0.384
VASP energy (eV/cell): -19.66
SG: I4/mmm, No. 139

a = 4.6984 Å, b = 4.6984 Å, c = 4.6984 Å
α = 134.18°, β = 134.18°, γ = 66.80°
With the nearest neighbours (Å) after each atom.
Positions (direct):
Be (0.2500, 0.7500, 0.5000)  4 Be 2.59, 4 Sb 2.68, 4 Cr 2.68
Be (0.7500, 0.2500, 0.5000)  4 Be 2.59, 4 Sb 2.68, 4 Cr 2.68
Cr (0.0000, 0.0000, 0.0000)  4 Sb 2.59, 8 Be 2.68
Sb (0.5000, 0.5000, 0.0000)  4 Cr 2.59, 8 Be 2.68


No. 13
Here is a relaxed structure of Be2CrSb from Alexandria. Energies are from PBE.

D(E_F) (states/eV/atom): 0.465
Energy relative to the elements, uncorrected (eV/atom): 0.390
VASP energy (eV/cell): -19.64
SG: P4mm, No. 99

a = 3.2410 Å, b = 3.2410 Å, c = 5.0528 Å
α = 90.00°, β = 90.00°, γ = 90.00°
With the nearest neighbours (Å) after each atom.
Positions (direct):
Be (0.0000, 0.0000, 0.0000)  1 Cr 2.26, 4 Be 2.51
Be (0.5000, 0.5000, 0.2047)  2 Sb 2.51-2.55, 4 Be 2.51, 4 Cr 2.60
Cr (0.0000, 0.0000, 0.4474)  1 Be 2.26
Sb (0.5000, 0.5000, 0.7085)  6 Be 2.51-2.72, 4 Cr 2.64


No. 14
Here is a relaxed structure of Be2CrSb from Alexandria. Energies are from PBE.

D(E_F) (states/eV/atom): 0.470
Energy relative to the elements, uncorrected (eV/atom): 0.664
VASP energy (eV/cell): -18.54
SG: F-43m, No. 216

a = 4.3092 Å, b = 4.3092 Å, c = 4.3092 Å
α = 60.00°, β = 60.00°, γ = 60.00°
With the nearest neighbours (Å) after each atom.
Positions (direct):
Be (0.0000, 0.0000, 0.0000)  4 Sb 2.64, 4 Be 2.64
Be (0.2500, 0.2500, 0.2500)  4 Cr 2.64, 4 Be 2.64
Cr (0.5000, 0.5000, 0.5000)  4 Sb 2.64, 4 Be 2.64
Sb (0.7500, 0.7500, 0.7500)  4 Cr 2.64, 4 Be 2.64


No. 15
Here is a relaxed structure of BeCrSbTe2 from Alexandria. Energies are from PBE.

ΔE to the lowest computed polymorph (meV/atom): 476
D(E_F) (states/eV/atom): 1.107
Energy relative to the elements, uncorrected (eV/atom): 1.070
VASP energy (eV/cell): -18.40
SG: P4/mmm, No. 123

a = 5.0508 Å, b = 5.0508 Å, c = 4.6035 Å
α = 90.00°, β = 90.00°, γ = 90.00°
With the nearest neighbours (Å) after each atom.
Positions (direct):
Be (0.0000, 0.0000, 0.0000)  2 Sb 2.30, 4 Te 2.53
Cr (0.5000, 0.5000, 0.5000)  8 Te 3.42, 4 Sb 3.57
Sb (0.0000, 0.0000, 0.5000)  2 Be 2.30
Te (0.0000, 0.5000, 0.0000)  2 Be 2.53
Te (0.5000, 0.0000, 0.0000)  2 Be 2.53